1.
The following is a PBE calculation of a relaxed Rb2Sr2Li crystal, from the Alexandria database.

Lattice parameters (Å, degrees): 9.199 9.199 7.575 90.00 90.00 90.00
Space group P4/mbm (No. 127)
Unique sites:
Rb1 0.173 0.327 0.000
Sr1 0.160 0.660 0.500
Li1 0.000 0.000 0.500

crystal system = tetragonal
calculated formation energy = 224 meV/atom
energy = -0.0448 hartree per atom
polymorph energy (0 for the lowest one) = 0 meV/atom

2.
The following is a PBE calculation of a relaxed GaSi2HS crystal, from the Alexandria database.

Lattice parameters (Å, degrees): 4.338 3.828 6.192 90.00 108.56 90.00
Space group Pm (No. 6)
Unique sites:
Ga1 0.000 0.000 0.000
Si1 0.593 0.000 0.200
Si2 0.594 0.500 0.418
H1 0.271 0.500 0.458
S1 0.966 0.500 0.755

crystal system = monoclinic
energy = -0.1622 hartree per atom
polymorph energy (0 for the lowest one) = 89 meV/atom